Here is a geometry-optimized Sm2CdRh3 structure from Alexandria. Energies are from PBE.

Results
Energy above the most stable polymorph in this dataset (eV/atom): 0.0000
Symmetry: P-3m1 (164)
VASP energy (eV per atom): -5.99
ΔE_f (eV per atom): -0.59

POSCAR file:
```
Sm2CdRh3
1.0
4.8072 0.0000 0.0000
-2.4036 4.1632 0.0000
0.0000 0.0000 11.8102
Rh Cd Sm
6 2 4
direct
0.0000 0.0000 0.7496
0.3333 0.6667 0.9154
0.3333 0.6667 0.4224
0.0000 0.0000 0.2504
0.6667 0.3333 0.5776
0.6667 0.3333 0.0846
0.6667 0.3333 0.3349
0.3333 0.6667 0.6651
0.3333 0.6667 0.1832
0.0000 0.0000 0.5000
0.6667 0.3333 0.8168
0.0000 0.0000 0.0000
```

---

Here is a geometry-optimized Sm2CdSn3Rh4 structure from Alexandria. Energies are from PBE.

Results
Symmetry: P-4m2 (115)
VASP energy (eV per atom): -5.79
ΔE_f (eV per atom): -0.61

POSCAR file:
```
Sm2CdSn3Rh4
1.0
4.3729 0.0000 0.0000
0.0000 4.3729 0.0000
0.0000 0.0000 11.2129
Cd Sn Rh Sm
1 3 4 2
direct
0.5000 0.5000 0.5000
0.5000 0.0000 0.8714
0.0000 0.0000 0.5000
0.0000 0.5000 0.1286
0.0000 0.0000 0.0000
0.5000 0.5000 0.0000
0.5000 0.0000 0.6425
0.0000 0.5000 0.3575
0.0000 0.5000 0.7529
0.5000 0.0000 0.2471
```

---

Here is a geometry-optimized SrSmCdRh structure from Alexandria. Energies are from PBE.

Results
Symmetry: F-43m (216)
VASP energy (eV per atom): -3.95
ΔE_f (eV per atom): -0.28

POSCAR file:
```
SrSmCdRh
1.0
5.2570 0.0000 0.0000
2.6285 4.5527 0.0000
2.6285 1.5176 4.2923
Sr Sm Cd Rh
1 1 1 1
direct
0.0000 0.0000 0.0000
0.5000 0.5000 0.5000
0.7500 0.7500 0.7500
0.2500 0.2500 0.2500
```

---

Here is a geometry-optimized Sm2Ta2CdRh5 structure from Alexandria. Energies are from PBE.

Results
Symmetry: P4/mbm (127)
VASP energy (eV per atom): -7.41
ΔE_f (eV per atom): -0.33

POSCAR file:
```
Sm2Ta2CdRh5
1.0
3.4700 0.0000 0.0000
0.0000 10.6010 0.0000
0.0000 0.0000 10.6010
Ta Cd Rh Sm
4 2 10 4
direct
0.0000 0.6289 0.8711
0.0000 0.3711 0.1289
0.0000 0.1289 0.6289
0.0000 0.8711 0.3711
0.0000 0.5000 0.5000
0.0000 0.0000 0.0000
0.5000 0.0542 0.7917
0.5000 0.4458 0.2917
0.5000 0.5000 0.0000
0.5000 0.0000 0.5000
0.5000 0.2083 0.0542
0.5000 0.7917 0.9458
0.5000 0.9458 0.2083
0.5000 0.5542 0.7083
0.5000 0.7083 0.4458
0.5000 0.2917 0.5542
0.0000 0.3255 0.8255
0.0000 0.8255 0.6745
0.0000 0.6745 0.1745
0.0000 0.1745 0.3255
```

---

Here is a geometry-optimized TbSmCdRh structure from Alexandria. Energies are from PBE.

Results
Symmetry: F-43m (216)
VASP energy (eV per atom): -4.89
ΔE_f (eV per atom): -0.49

POSCAR file:
```
TbSmCdRh
1.0
5.1187 0.0000 0.0000
2.5594 4.4329 0.0000
2.5594 1.4776 4.1794
Rh Tb Cd Sm
1 1 1 1
direct
0.2500 0.2500 0.2500
0.5000 0.5000 0.5000
0.7500 0.7500 0.7500
0.0000 0.0000 0.0000
```

---

Here is a geometry-optimized SmThCdRh structure from Alexandria. Energies are from PBE.

Results
Symmetry: F-43m (216)
VASP energy (eV per atom): -5.46
ΔE_f (eV per atom): -0.36

POSCAR file:
```
SmThCdRh
1.0
5.2007 0.0000 0.0000
2.6003 4.5039 0.0000
2.6003 1.5013 4.2463
Rh Sm Cd Th
1 1 1 1
direct
0.2500 0.2500 0.2500
0.0000 0.0000 0.0000
0.7500 0.7500 0.7500
0.5000 0.5000 0.5000
```